OsPt2Cl | PBE | optimized geometry

## Properties
* DOS(E_F): 5.2 states/eV/f.u.
* VASP energy: -5.1866 eV per atom
* offset from the most stable computed form: 803.6 meV/atom
* crystal system: tetragonal
* density: 16.08 Mg/m³

Structure (CIF):
```
data_OsPt2Cl
_space_group_name_H-M_alt 'P 1'
_space_group_IT_number 1
_space_group_name_Hall 'P 1'
_cell_length_a 4.3948
_cell_length_b 3.8042
_cell_length_c 3.8042
_cell_angle_alpha 90.00
_cell_angle_beta 90.00
_cell_angle_gamma 90.00
loop_
_atom_site_label
_atom_site_type_symbol
_atom_site_fract_x
_atom_site_fract_y
_atom_site_fract_z
Cl1 Cl 0.5000 0.5000 0.0000
Os1 Os 0.5000 0.0000 0.5000
Pt1 Pt 0.0000 0.0000 0.0000
Pt2 Pt 0.0000 0.5000 0.5000
```